MnTe2Os: relaxed, PBE-GGA.

Cell lengths 6.0084, 6.0084, 7.4481 Å; angles 66.21, 66.21, 90.00 degrees
Closest atoms and distances in Å follow each position.
Fractional coordinates of all 8 atoms:
Te 0.6403 0.1250 0.2500  2 Os 2.57, 2 Mn 2.67
Te 0.3750 0.3597 0.7500  2 Os 2.57, 2 Mn 2.67
Os 0.7500 0.2500 0.5000  4 Te 2.57
Mn 0.2500 0.7500 0.5000  4 Te 2.67
Te 0.8750 0.8903 0.7500  2 Os 2.57, 2 Mn 2.67
Te 0.1097 0.6250 0.2500  2 Os 2.57, 2 Mn 2.67
Os 0.0000 0.0000 0.0000  4 Te 2.57
Mn 0.5000 0.5000 0.0000  4 Te 2.67

Calculated values
polymorph energy (0 for the lowest one) = 0.4100 eV/atom
space-group type = I-42d (122)
total DFT energy (no corrections) = -6.1797 eV per atom
formation energy (no corrections) = 0.491 eV per atom